Below is a relaxed structure of Dy5Rh6, with properties calculated at the PBE level.

a = 4.622 Å, b = 6.994 Å, c = 8.160 Å
α = 115.38°, β = 106.14°, γ = 90.00°
Element x y z (fractional)
Rh (0.500, 0.280, 0.000)
Rh (0.168, 0.909, 0.336)
Rh (0.832, 0.091, 0.664)
Dy (0.640, 0.138, 0.276)
Dy (0.000, 0.500, 0.000)
Rh (0.500, 0.720, 0.000)
Rh (0.168, 0.427, 0.336)
Dy (0.360, 0.862, 0.724)
Rh (0.832, 0.573, 0.664)
Dy (0.323, 0.322, 0.644)
Dy (0.677, 0.678, 0.356)

Computed properties:
M_tot ... 0.00 μB per cell
ΔE_f ... -678 meV/atom